# 1
5
Lattice="5.324 0.000 0.000 0.000 5.324 0.000 0.000 0.000 5.324" Properties=species:S:1:pos:R:3 comment="Na3ScOs, optimized geometry, DFT GGA-PBE" total_magnetization_mub_per_fu=0.00 n_ef_per_ev_cell=3.93 e_form_ev_per_atom=1.5326 rho_g_cm3=3.35 volume_a3_per_atom=30.2 pbc="T T T"
Na 0.000 0.000 2.662
Na 0.000 2.662 0.000
Na 2.662 0.000 0.000
Sc 2.662 2.662 2.662
Os 0.000 0.000 0.000


# 2
5
Lattice="4.815 0.000 0.000 0.000 4.815 0.000 0.000 0.000 4.815" Properties=species:S:1:pos:R:3 comment="NaSc3Os, optimized geometry, DFT GGA-PBE" total_magnetization_mub_per_fu=0.00 n_ef_per_ev_cell=9.61 e_form_ev_per_atom=1.5637 rho_g_cm3=5.18 volume_a3_per_atom=22.3 pbc="T T T"
Na 0.000 0.000 0.000
Sc 0.000 0.000 2.408
Sc 0.000 2.408 0.000
Sc 2.408 0.000 0.000
Os 2.408 2.408 2.408


# 3
8
Lattice="-3.896 3.896 5.568 3.896 -3.896 5.568 3.896 3.896 -5.568" Properties=species:S:1:pos:R:3 comment="NaSc2Os, optimized geometry, DFT GGA-PBE" total_magnetization_mub_per_fu=0.00 n_ef_per_ev_cell=7.58 e_form_ev_per_atom=0.7849 rho_g_cm3=2.98 volume_a3_per_atom=42.3 pbc="T T T"
Na 0.000 0.000 0.000
Na 0.000 3.896 2.784
Sc 1.948 -0.047 4.176
Sc 3.850 1.948 1.392
Sc 1.948 3.943 -1.392
Sc 0.047 1.948 6.960
Os 3.896 0.000 2.784
Os 0.000 0.000 5.568


# 4
8
Lattice="-2.054 2.054 9.688 2.054 -2.054 9.688 2.054 2.054 -9.688" Properties=species:S:1:pos:R:3 comment="NaScOs2, optimized geometry, DFT GGA-PBE" total_magnetization_mub_per_fu=0.00 n_ef_per_ev_cell=4.16 e_form_ev_per_atom=0.7987 rho_g_cm3=9.10 volume_a3_per_atom=20.4 pbc="T T T"
Na 0.000 0.000 0.000
Na 0.000 2.054 4.844
Sc 2.054 0.000 4.844
Sc 0.000 0.000 9.688
Os 1.027 -0.613 7.266
Os 1.442 1.027 2.422
Os 1.027 2.667 -2.422
Os 0.613 1.027 12.110


# 5
5
Lattice="5.489 0.000 0.000 0.000 5.489 0.000 0.000 0.000 5.489" Properties=species:S:1:pos:R:3 comment="Na3ScOs, optimized geometry, DFT GGA-PBE" total_magnetization_mub_per_fu=0.63 n_ef_per_ev_cell=7.22 e_form_ev_per_atom=2.0818 rho_g_cm3=3.05 volume_a3_per_atom=33.1 pbc="T T T"
Na 0.000 0.000 2.745
Na 0.000 2.745 0.000
Na 2.745 0.000 0.000
Sc 0.000 0.000 0.000
Os 2.745 2.745 2.745


# 6
5
Lattice="5.126 0.000 0.000 0.000 5.126 0.000 0.000 0.000 5.126" Properties=species:S:1:pos:R:3 comment="NaSc3Os, optimized geometry, DFT GGA-PBE" total_magnetization_mub_per_fu=0.00 n_ef_per_ev_cell=3.81 e_form_ev_per_atom=0.0148 rho_g_cm3=4.29 volume_a3_per_atom=26.9 pbc="T T T"
Na 0.000 0.000 0.000
Sc 0.000 2.563 2.563
Sc 2.563 0.000 2.563
Sc 2.563 2.563 0.000
Os 2.563 2.563 2.563


# 7
4
Lattice="3.217 0.000 0.000 0.000 3.217 0.000 0.000 0.000 9.044" Properties=species:S:1:pos:R:3 comment="NaSc2Os, optimized geometry, DFT GGA-PBE" total_magnetization_mub_per_fu=0.00 n_ef_per_ev_cell=2.00 e_form_ev_per_atom=-0.2300 rho_g_cm3=5.38 volume_a3_per_atom=23.4 pbc="T T T"
Na 0.000 0.000 0.000
Sc 1.608 1.608 2.978
Sc 1.608 1.608 6.066
Os 0.000 0.000 4.522


# 8
4
Lattice="1.610 0.929 10.487 -1.610 0.929 10.487 0.000 -1.859 10.487" Properties=species:S:1:pos:R:3 comment="NaSc2Os, optimized geometry, DFT GGA-PBE" total_magnetization_mub_per_fu=0.00 n_ef_per_ev_cell=4.86 e_form_ev_per_atom=0.1254 rho_g_cm3=5.35 volume_a3_per_atom=23.5 pbc="T T T"
Na 0.000 0.000 0.000
Sc 0.000 0.000 3.307
Sc 0.000 0.000 28.153
Os 0.000 0.000 15.730


# 9
8
Lattice="-1.910 1.910 11.499 1.910 -1.910 11.499 1.910 1.910 -11.499" Properties=species:S:1:pos:R:3 comment="Na2ScOs, optimized geometry, DFT GGA-PBE" total_magnetization_mub_per_fu=0.00 n_ef_per_ev_cell=7.08 e_form_ev_per_atom=0.5902 rho_g_cm3=5.56 volume_a3_per_atom=21.0 pbc="T T T"
Na 2.865 0.891 -2.875
Na 0.891 0.955 2.875
Na -0.955 1.019 8.624
Na 1.019 0.955 14.373
Sc 1.910 0.000 5.749
Sc 0.000 0.000 11.499
Os 0.000 0.000 0.000
Os 0.000 1.910 5.749


# 10
4
Lattice="0.000 3.213 3.213 3.213 0.000 3.213 3.213 3.213 0.000" Properties=species:S:1:pos:R:3 comment="NaScOs2, optimized geometry, DFT GGA-PBE" total_magnetization_mub_per_fu=0.00 n_ef_per_ev_cell=5.16 e_form_ev_per_atom=0.7987 rho_g_cm3=11.23 volume_a3_per_atom=16.6 pbc="T T T"
Na 0.000 0.000 0.000
Sc 3.213 3.213 3.213
Os 1.606 1.606 1.606
Os 4.819 4.819 4.819


# 11
4
Lattice="0.000 3.357 3.357 3.357 0.000 3.357 3.357 3.357 0.000" Properties=species:S:1:pos:R:3 comment="NaSc2Os, optimized geometry, DFT GGA-PBE" total_magnetization_mub_per_fu=0.00 n_ef_per_ev_cell=5.58 e_form_ev_per_atom=0.0028 rho_g_cm3=6.65 volume_a3_per_atom=18.9 pbc="T T T"
Na 0.000 0.000 0.000
Sc 1.679 1.679 1.679
Sc 5.036 5.036 5.036
Os 3.357 3.357 3.357


# 12
5
Lattice="5.506 0.000 0.000 0.000 5.506 0.000 0.000 0.000 4.811" Properties=species:S:1:pos:R:3 comment="NaScTe2Os, optimized geometry, DFT GGA-PBE" total_magnetization_mub_per_fu=0.00 n_ef_per_ev_cell=3.36 rho_g_cm3=5.84 volume_a3_per_atom=29.2 raw_formation_energy_kj_per_mol_atoms=10.2 pbc="T T T"
Na 0.000 0.000 0.000
Sc 2.753 2.753 0.000
Te 0.000 2.753 2.405
Te 2.753 0.000 2.405
Os 2.753 2.753 2.405


Which formula does entry 11 have?
NaSc2Os